# 1
# Ag2MoPt

Crystalline Ag2MoPt at its relaxed geometry (PBE-GGA, Alexandria).

abc: 4.5360 4.5360 4.5360
angles: 60.00 60.00 60.00
Atoms (fractional coordinates):
Ag  0.2500  0.2500  0.2500
Ag  0.7500  0.7500  0.7500
Mo  0.0000  0.0000  0.0000
Pt  0.5000  0.5000  0.5000

Calculated values
* crystal system: cubic
* space group: Fm-3m
* distance to the lowest polymorph of the same formula: 483 meV/atom
* V: 66 Å³/cell
* uncorrected energy: -20.43 eV per cell
* D(E_F): 2.4 states/eV per cell
* energy of formation: 0.54 eV per atom

# 2
# AgMo2Pt

Crystalline AgMo2Pt at its relaxed geometry (PBE-GGA, Alexandria).

abc: 5.0878 5.0878 5.0878
angles: 135.53 135.53 64.70
Atoms (fractional coordinates):
Ag  0.0000  0.0000  0.0000
Mo  0.2500  0.7500  0.5000
Mo  0.7500  0.2500  0.5000
Pt  0.5000  0.5000  0.0000

Calculated values
* crystal system: tetragonal
* space group: I4/mmm
* distance to the lowest polymorph of the same formula: 126 meV/atom
* V: 64 Å³/cell
* uncorrected energy: -29.75 eV per cell
* D(E_F): 4.8 states/eV per cell
* energy of formation: 0.20 eV per atom

# 3
# AgMo2Pt

Crystalline AgMo2Pt at its relaxed geometry (PBE-GGA, Alexandria).

abc: 9.7245 9.7245 9.7245
angles: 16.47 16.47 16.47
Atoms (fractional coordinates):
Ag  0.0000  0.0000  0.0000
Mo  0.2469  0.2469  0.2469
Mo  0.7531  0.7531  0.7531
Pt  0.5000  0.5000  0.5000

Calculated values
* crystal system: trigonal
* space group: R-3m
* distance to the lowest polymorph of the same formula: 141 meV/atom
* V: 64 Å³/cell
* uncorrected energy: -29.68 eV per cell
* D(E_F): 2.7 states/eV per cell
* energy of formation: 0.22 eV per atom

# 4
# AgMoPt2

Crystalline AgMoPt2 at its relaxed geometry (PBE-GGA, Alexandria).

abc: 5.8291 5.8291 5.8291
angles: 152.48 132.34 55.91
Atoms (fractional coordinates):
Ag  0.0000  0.0000  0.0000
Mo  0.2685  0.7685  0.5000
Pt  0.4801  0.4801  0.0000
Pt  0.7157  0.2157  0.5000

Calculated values
* crystal system: orthorhombic
* space group: Imm2
* distance to the lowest polymorph of the same formula: 293 meV/atom
* V: 67 Å³/cell
* uncorrected energy: -25.49 eV per cell
* D(E_F): 2.5 states/eV per cell
* energy of formation: 0.07 eV per atom

# 5
# Ag4MoPt

Crystalline Ag4MoPt at its relaxed geometry (PBE-GGA, Alexandria).

abc: 5.3482 5.3482 5.3482
angles: 60.00 60.00 60.00
Atoms (fractional coordinates):
Ag  0.1250  0.1250  0.1250
Ag  0.1250  0.1250  0.6251
Ag  0.1250  0.6251  0.1250
Ag  0.6251  0.1250  0.1250
Mo  0.5000  0.5000  0.5000
Pt  0.7500  0.7500  0.7500

Calculated values
* crystal system: cubic
* space group: F-43m
* V: 108 Å³/cell
* uncorrected energy: -24.76 eV per cell
* D(E_F): 3.2 states/eV per cell
* energy of formation: 0.59 eV per atom

# 6
# AgMo2Pt

Crystalline AgMo2Pt at its relaxed geometry (PBE-GGA, Alexandria).

abc: 4.8779 4.8779 4.8779
angles: 131.96 130.37 71.56
Atoms (fractional coordinates):
Ag  0.0000  0.0000  0.0000
Mo  0.2552  0.7552  0.5000
Mo  0.4864  0.4864  0.0000
Pt  0.7478  0.2478  0.5000

Calculated values
* crystal system: orthorhombic
* space group: Imm2
* distance to the lowest polymorph of the same formula: 165 meV/atom
* V: 64 Å³/cell
* uncorrected energy: -29.59 eV per cell
* D(E_F): 4.7 states/eV per cell
* energy of formation: 0.24 eV per atom